Record 1
# Tl5Sb5Pb2

A relaxed structure of Tl5Sb5Pb2 (PBE, Alexandria via LeMat-Bulk).

Output
Symmetry: C2/m (12)
Uncorrected formation energy, eV per atom: 0.042

Lattice parameters (Å, degrees): 4.584 7.236 13.510 104.45 80.23 71.53
Element x y z (fractional)
Tl 0.500 0.500 0.500
Tl 0.362 0.298 0.978
Tl 0.312 0.102 0.275
Tl 0.688 0.898 0.725
Tl 0.638 0.702 0.022
Sb 0.837 0.853 0.473
Sb 0.295 0.628 0.781
Sb 0.705 0.372 0.219
Sb 0.163 0.147 0.527
Sb 0.000 0.000 0.000
Pb 0.953 0.319 0.776
Pb 0.047 0.681 0.224

Record 2
# Tl2Sb2Pb

A relaxed structure of Tl2Sb2Pb (PBE, Alexandria via LeMat-Bulk).

Output
Energy above the lowest structure with this stoichiometry, meV per atom: 92.0
Symmetry: I4/mmm (139)
Uncorrected formation energy, eV per atom: 0.095

Lattice parameters (Å, degrees): 4.614 4.614 8.368 74.00 74.00 90.00
Element x y z (fractional)
Pb 0.000 0.000 0.000
Sb 0.407 0.407 0.186
Sb 0.593 0.593 0.814
Tl 0.750 0.250 0.500
Tl 0.250 0.750 0.500

Record 3
# TlSb3Pb

A relaxed structure of TlSb3Pb (PBE, Alexandria via LeMat-Bulk).

Output
Energy above the lowest structure with this stoichiometry, meV per atom: 49.3
Symmetry: Pm-3m (221)
Uncorrected formation energy, eV per atom: 0.758

Lattice parameters (Å, degrees): 5.691 5.691 5.691 90.00 90.00 90.00
Element x y z (fractional)
Pb 0.500 0.500 0.500
Sb 0.000 0.500 0.000
Sb 0.000 0.000 0.500
Sb 0.500 0.000 0.000
Tl 0.000 0.000 0.000

Record 4
# Tl5Sb2Pb

A relaxed structure of Tl5Sb2Pb (PBE, Alexandria via LeMat-Bulk).

Output
Symmetry: Pbam (55)
Uncorrected formation energy, eV per atom: -0.006

Lattice parameters (Å, degrees): 4.841 7.121 14.282 90.00 90.00 90.00
Element x y z (fractional)
Tl 0.000 0.000 0.000
Tl 0.000 0.500 0.500
Tl 0.000 0.489 0.750
Tl 0.000 0.511 0.250
Tl 0.000 0.011 0.250
Tl 0.000 0.989 0.750
Tl 0.500 0.239 0.873
Tl 0.500 0.761 0.127
Tl 0.500 0.261 0.373
Tl 0.500 0.739 0.627
Sb 0.500 0.232 0.620
Sb 0.500 0.768 0.380
Sb 0.500 0.268 0.120
Sb 0.500 0.732 0.880
Pb 0.000 0.000 0.500
Pb 0.000 0.500 0.000

Record 5
# TlSb4Pb7

A relaxed structure of TlSb4Pb7 (PBE, Alexandria via LeMat-Bulk).

Output
Symmetry: C2/m (12)
Uncorrected formation energy, eV per atom: 0.079

Lattice parameters (Å, degrees): 6.161 8.378 8.906 69.15 69.76 68.43
Element x y z (fractional)
Tl 0.000 0.000 0.000
Sb 0.526 0.323 0.625
Sb 0.474 0.677 0.375
Sb 0.746 0.759 0.748
Sb 0.254 0.241 0.252
Pb 0.771 0.061 0.398
Pb 0.229 0.939 0.602
Pb 0.037 0.626 0.301
Pb 0.963 0.374 0.699
Pb 0.274 0.553 0.899
Pb 0.500 0.000 0.000
Pb 0.726 0.447 0.101

Record 6
# TlSb3Pb

A relaxed structure of TlSb3Pb (PBE, Alexandria via LeMat-Bulk).

Output
Energy above the lowest structure with this stoichiometry, meV per atom: 0.0
Symmetry: Pm-3m (221)
Uncorrected formation energy, eV per atom: 0.708

Lattice parameters (Å, degrees): 5.847 5.847 5.847 90.00 90.00 90.00
Element x y z (fractional)
Pb 0.000 0.000 0.000
Sb 0.000 0.500 0.000
Sb 0.000 0.000 0.500
Sb 0.500 0.000 0.000
Tl 0.500 0.500 0.500

Record 7
# Tl2SbPb6

A relaxed structure of Tl2SbPb6 (PBE, Alexandria via LeMat-Bulk).

Output
Energy above the lowest structure with this stoichiometry, meV per atom: 10.4
Symmetry: P-62m (189)
Uncorrected formation energy, eV per atom: 0.044

Lattice parameters (Å, degrees): 3.406 9.742 9.743 120.00 90.00 90.00
Element x y z (fractional)
Tl 0.000 0.333 0.667
Tl 0.000 0.667 0.333
Sb 0.500 0.000 0.000
Pb 0.500 0.655 0.000
Pb 0.500 0.345 0.345
Pb 0.500 0.000 0.655
Pb 0.000 0.306 0.000
Pb 0.000 0.694 0.693
Pb 0.000 0.000 0.307

Record 8
# Tl3Sb2Pb

A relaxed structure of Tl3Sb2Pb (PBE, Alexandria via LeMat-Bulk).

Output
Energy above the lowest structure with this stoichiometry, meV per atom: 6.2
Symmetry: C2/m (12)
Uncorrected formation energy, eV per atom: 0.008

Lattice parameters (Å, degrees): 4.830 9.326 10.525 68.28 76.74 74.99
Element x y z (fractional)
Tl 0.037 0.120 0.805
Tl 0.963 0.880 0.195
Tl 0.624 0.798 0.955
Tl 0.376 0.202 0.045
Tl 0.782 0.821 0.614
Tl 0.218 0.179 0.386
Sb 0.825 0.460 0.890
Sb 0.175 0.540 0.110
Sb 0.608 0.202 0.582
Sb 0.392 0.798 0.418
Pb 0.413 0.488 0.687
Pb 0.587 0.512 0.313

Record 9
# Tl5Sb3Pb3

A relaxed structure of Tl5Sb3Pb3 (PBE, Alexandria via LeMat-Bulk).

Output
Energy above the lowest structure with this stoichiometry, meV per atom: 0.0
Symmetry: P-62m (189)
Uncorrected formation energy, eV per atom: 0.130

Lattice parameters (Å, degrees): 4.358 10.321 10.321 120.00 90.00 90.00
Element x y z (fractional)
Tl 0.500 0.667 0.333
Tl 0.500 0.333 0.667
Tl 0.500 0.361 0.000
Tl 0.500 0.639 0.639
Tl 0.500 0.000 0.361
Sb 0.000 0.582 0.000
Sb 0.000 0.000 0.582
Sb 0.000 0.418 0.418
Pb 0.500 0.784 0.000
Pb 0.500 0.216 0.216
Pb 0.500 0.000 0.784

Record 10
# Tl3Sb4Pb2

A relaxed structure of Tl3Sb4Pb2 (PBE, Alexandria via LeMat-Bulk).

Output
Symmetry: C2/m (12)
Uncorrected formation energy, eV per atom: 0.038

Lattice parameters (Å, degrees): 5.469 6.657 8.847 111.56 108.01 90.00
Element x y z (fractional)
Tl 0.117 0.603 0.234
Tl 0.883 0.397 0.766
Tl 0.000 0.000 0.000
Sb 0.476 0.688 0.951
Sb 0.228 0.281 0.456
Sb 0.524 0.312 0.049
Sb 0.772 0.719 0.544
Pb 0.667 0.020 0.335
Pb 0.333 0.980 0.665

Record 11
# TlSbPb4

A relaxed structure of TlSbPb4 (PBE, Alexandria via LeMat-Bulk).

Output
Energy above the lowest structure with this stoichiometry, meV per atom: 80.6
Symmetry: C2/m (12)
Uncorrected formation energy, eV per atom: 0.116

Lattice parameters (Å, degrees): 5.389 5.389 7.355 89.95 89.96 90.01
Element x y z (fractional)
Tl 0.501 0.497 0.998
Sb 0.001 0.997 0.498
Pb 0.501 0.997 0.247
Pb 0.501 0.998 0.750
Pb 0.001 0.497 0.750
Pb 0.001 0.497 0.247

Record 12
# Tl2Sb2Pb3

A relaxed structure of Tl2Sb2Pb3 (PBE, Alexandria via LeMat-Bulk).

Output
Symmetry: C2/m (12)
Uncorrected formation energy, eV per atom: 0.011

Lattice parameters (Å, degrees): 4.452 6.809 8.419 106.56 90.00 109.08
Element x y z (fractional)
Tl 0.877 0.753 0.209
Tl 0.123 0.247 0.791
Sb 0.825 0.651 0.780
Sb 0.175 0.349 0.220
Pb 0.500 0.000 0.000
Pb 0.617 0.235 0.445
Pb 0.383 0.765 0.555